This record from the Alexandria database describes an optimized crystal structure of V2Cu3Bi4O14. The functional is PBE with a Hubbard U.

Unit cell a=5.342 b=8.085 c=8.202 alpha=106.22 beta=106.56 gamma=91.73
Space group P-1 (No. 2)
Symmetry-distinct sites (fractional):
V: 0.172 0.252 0.427 (multiplicity 2)
Cu: 0.000 0.000 0.000 (multiplicity 1)
Cu: 0.428 0.012 0.770 (multiplicity 2)
Bi: 0.083 0.701 0.204 (multiplicity 2)
Bi: 0.449 0.642 0.852 (multiplicity 2)
O: 0.163 0.816 0.623 (multiplicity 2)
O: 0.208 0.396 0.310 (multiplicity 2)
O: 0.216 0.136 0.915 (multiplicity 2)
O: 0.246 0.498 0.002 (multiplicity 2)
O: 0.263 0.844 0.051 (multiplicity 2)
O: 0.292 0.348 0.662 (multiplicity 2)
O: 0.333 0.074 0.366 (multiplicity 2)

Output
Total energy in eV/atom: -6.16
Mass density in Mg/m³: 6.937